1.
ZrReAg | GGA-PBEsol | optimized geometry

Values from the calculation:
- energy of formation (meV/atom) = 1028
- spin magnetization (μB per atom) = 0.00

Unit cell a=4.3826 b=4.3826 c=4.3826 alpha=60.00 beta=60.00 gamma=60.00
Closest atoms and distances in Å follow each position.
Positions (direct):
Ag: 0.2500 0.2500 0.2500  4 Zr 2.68, 4 Re 2.68
Re: 0.0000 0.0000 0.0000  4 Ag 2.68
Zr: 0.5000 0.5000 0.5000  4 Ag 2.68

2.
InGe2N | GGA-PBEsol | optimized geometry

Values from the calculation:
- energy (eV per atom) = -4.241
- spin magnetization (μB per atom) = 0.00

Unit cell a=4.5631 b=4.5631 c=4.5631 alpha=60.00 beta=60.00 gamma=60.00
Closest atoms and distances in Å follow each position.
Positions (direct):
Ge: 0.2500 0.2500 0.2500  4 In 2.79, 4 N 2.79
Ge: 0.7500 0.7500 0.7500  4 In 2.79, 4 N 2.79
N: 0.0000 0.0000 0.0000  8 Ge 2.79
In: 0.5000 0.5000 0.5000  8 Ge 2.79

3.
KZnSb2 | GGA-PBEsol | optimized geometry

Values from the calculation:
- energy (eV per atom) = -2.967
- spin magnetization (μB per atom) = 0.00

Unit cell a=3.1340 b=5.3641 c=6.2258 alpha=90.00 beta=90.00 gamma=90.00
Closest atoms and distances in Å follow each position.
Positions (direct):
K: 0.2499 0.5000 0.7539  2 K 3.13, 6 Sb 3.42-3.47
Sb: 0.7499 0.0000 0.0008  2 Zn 2.98-3.25, 4 Sb 3.13-3.15
Sb: 0.7498 0.5000 0.2664  2 Zn 2.99, 4 Sb 3.13-3.15
Zn: 0.7504 0.0000 0.4789  4 Sb 2.98-3.25, 2 Zn 3.13

Repeat the third record exactly.
KZnSb2 | GGA-PBEsol | optimized geometry

Values from the calculation:
- energy (eV per atom) = -2.967
- spin magnetization (μB per atom) = 0.00

Unit cell a=3.1340 b=5.3641 c=6.2258 alpha=90.00 beta=90.00 gamma=90.00
Closest atoms and distances in Å follow each position.
Positions (direct):
K: 0.2499 0.5000 0.7539  2 K 3.13, 6 Sb 3.42-3.47
Sb: 0.7499 0.0000 0.0008  2 Zn 2.98-3.25, 4 Sb 3.13-3.15
Sb: 0.7498 0.5000 0.2664  2 Zn 2.99, 4 Sb 3.13-3.15
Zn: 0.7504 0.0000 0.4789  4 Sb 2.98-3.25, 2 Zn 3.13